# 1
## Tl2PRu2 (SCAN)

Data for a PBEsol-optimized structure of Tl2PRu2.

CIF file:
```
data_Tl2PRu2
_space_group_name_H-M_alt 'I 4/m m m'
_space_group_IT_number 139
_space_group_name_Hall '-I 4 2'
_cell_length_a 3.813
_cell_length_b 3.813
_cell_length_c 13.092
_cell_angle_alpha 90.00
_cell_angle_beta 90.00
_cell_angle_gamma 90.00
loop_
_atom_site_label
_atom_site_type_symbol
_atom_site_fract_x
_atom_site_fract_y
_atom_site_fract_z
_atom_site_occupancy
Tl1 Tl 0.000 0.500 0.250 1
P1 P 0.000 0.000 0.000 1
Ru1 Ru 0.000 0.000 0.410 1
```

Summary:
* ΔE_f: 1126 meV/atom
* VASP energy: -438.273 eV per cell


# 2
## Ca2OsPt (SCAN)

Data for a PBEsol-optimized structure of Ca2OsPt.

CIF file:
```
data_Ca2OsPt
_space_group_name_H-M_alt 'P 4 m m'
_space_group_IT_number 99
_cell_length_a 3.460
_cell_length_b 3.460
_cell_length_c 8.168
_cell_angle_alpha 90.00
_cell_angle_beta 90.00
_cell_angle_gamma 90.00
loop_
_space_group_symop_operation_xyz
'x,y,z'
'-y,x,z'
'-x,-y,z'
'y,-x,z'
'-x,y,z'
'y,x,z'
'x,-y,z'
'-y,-x,z'
loop_
_atom_site_label
_atom_site_type_symbol
_atom_site_fract_x
_atom_site_fract_y
_atom_site_fract_z
_atom_site_occupancy
Ca1 Ca 0.000 0.000 0.000 1
Ca2 Ca 0.500 0.500 0.409 1
Os1 Os 0.000 0.000 0.658 1
Pt1 Pt 0.500 0.500 0.761 1
```

Summary:
* ΔE_f: 98 meV/atom
* energy relative to the lowest polymorph listed for this composition: 174 meV per atom
* VASP energy: -161.008 eV per cell


# 3
## ThAl10Fe2 (SCAN)

Data for a PBEsol-optimized structure of ThAl10Fe2.

CIF file:
```
data_ThAl10Fe2
_space_group_name_H-M_alt 'C m c m'
_space_group_IT_number 63
_space_group_name_Hall '-C 2c 2'
_cell_length_a 8.872
_cell_length_b 10.164
_cell_length_c 8.962
_cell_angle_alpha 90.00
_cell_angle_beta 90.00
_cell_angle_gamma 90.00
loop_
_atom_site_label
_atom_site_type_symbol
_atom_site_fract_x
_atom_site_fract_y
_atom_site_fract_z
_atom_site_occupancy
Th1 Th 0.000 0.125 0.250 1
Al1 Al 0.000 0.161 0.599 1
Al2 Al 0.000 0.376 0.050 1
Al3 Al 0.149 0.370 0.750 1
Al4 Al 0.227 0.000 0.000 1
Al5 Al 0.228 0.362 0.250 1
Fe1 Fe 0.250 0.250 0.000 1
```

Summary:
* ΔE_f: -317 meV/atom
* VASP energy: -855.278 eV per cell


# 4
## Ta4CrSe (SCAN)

Data for a PBEsol-optimized structure of Ta4CrSe.

CIF file:
```
data_Ta4CrSe
_space_group_name_H-M_alt 'F -4 3 m'
_space_group_IT_number 216
_space_group_name_Hall 'F -4 2 3'
_cell_length_a 7.610
_cell_length_b 7.610
_cell_length_c 7.610
_cell_angle_alpha 90.00
_cell_angle_beta 90.00
_cell_angle_gamma 90.00
loop_
_atom_site_label
_atom_site_type_symbol
_atom_site_fract_x
_atom_site_fract_y
_atom_site_fract_z
_atom_site_occupancy
Ta1 Ta 0.124 0.124 0.376 1
Cr1 Cr 0.250 0.250 0.750 1
Se1 Se 0.000 0.000 0.000 1
```

Summary:
* VASP energy: -1203.357 eV per cell


# 5
## Ta2ZnCu (SCAN)

Data for a PBEsol-optimized structure of Ta2ZnCu.

CIF file:
```
data_Ta2ZnCu
_space_group_name_H-M_alt 'C m m m'
_space_group_IT_number 65
_space_group_name_Hall '-C 2 2'
_cell_length_a 5.581
_cell_length_b 7.653
_cell_length_c 2.815
_cell_angle_alpha 90.00
_cell_angle_beta 90.00
_cell_angle_gamma 90.00
loop_
_atom_site_label
_atom_site_type_symbol
_atom_site_fract_x
_atom_site_fract_y
_atom_site_fract_z
_atom_site_occupancy
Ta1 Ta 0.250 0.250 0.000 1
Zn1 Zn 0.000 0.000 0.500 1
Cu1 Cu 0.000 0.500 0.500 1
```

Summary:
* ΔE_f: 29 meV/atom
* VASP energy: -323.532 eV per cell


# 6
## MnSb2TeN (SCAN)

Data for a PBEsol-optimized structure of MnSb2TeN.

CIF file:
```
data_MnSb2TeN
_space_group_name_H-M_alt 'P 4/m m m'
_space_group_IT_number 123
_space_group_name_Hall '-P 4 2'
_cell_length_a 4.881
_cell_length_b 4.881
_cell_length_c 4.948
_cell_angle_alpha 90.00
_cell_angle_beta 90.00
_cell_angle_gamma 90.00
loop_
_atom_site_label
_atom_site_type_symbol
_atom_site_fract_x
_atom_site_fract_y
_atom_site_fract_z
_atom_site_occupancy
Mn1 Mn 0.000 0.000 0.000 1
Sb1 Sb 0.000 0.500 0.000 1
Te1 Te 0.000 0.000 0.500 1
N1 N 0.500 0.500 0.500 1
```

Summary:
* VASP energy: -133.500 eV per cell


# 7
## HgAs2Br (SCAN)

Data for a PBEsol-optimized structure of HgAs2Br.

CIF file:
```
data_HgAs2Br
_space_group_name_H-M_alt 'C 1 m 1'
_space_group_IT_number 8
_cell_length_a 12.023
_cell_length_b 3.613
_cell_length_c 4.785
_cell_angle_alpha 90.00
_cell_angle_beta 90.46
_cell_angle_gamma 90.00
loop_
_space_group_symop_operation_xyz
'x,y,z'
'x,-y,z'
'x+1/2,y+1/2,z'
'x+1/2,-y+1/2,z'
loop_
_atom_site_label
_atom_site_type_symbol
_atom_site_fract_x
_atom_site_fract_y
_atom_site_fract_z
_atom_site_occupancy
Hg1 Hg 0.000 0.000 0.000 1
As1 As 0.032 0.500 0.515 1
As2 As 0.162 0.000 0.370 1
Br1 Br 0.291 0.500 0.858 1
```

Summary:
* VASP energy: -255.694 eV per cell


# 8
## CdRu (SCAN)

Data for a PBEsol-optimized structure of CdRu.

CIF file:
```
data_CdRu
_space_group_name_H-M_alt 'P m m n'
_space_group_IT_number 59
_cell_length_a 2.829
_cell_length_b 4.536
_cell_length_c 4.947
_cell_angle_alpha 90.00
_cell_angle_beta 90.00
_cell_angle_gamma 90.00
loop_
_space_group_symop_operation_xyz
'x,y,z'
'-x,-y,-z'
'-x+1/2,-y+1/2,z'
'x+1/2,y+1/2,-z'
'x+1/2,-y,-z'
'-x+1/2,y,z'
'-x,y+1/2,-z'
'x,-y+1/2,z'
loop_
_atom_site_label
_atom_site_type_symbol
_atom_site_fract_x
_atom_site_fract_y
_atom_site_fract_z
_atom_site_occupancy
Cd1 Cd 0.250 0.250 0.088 1
Ru1 Ru 0.250 0.750 0.426 1
```

Summary:
* ΔE_f: 423 meV/atom
* VASP energy: -128.790 eV per cell


# 9
## OsAu2Cl (SCAN)

Data for a PBEsol-optimized structure of OsAu2Cl.

CIF file:
```
data_OsAu2Cl
_space_group_name_H-M_alt 'C m m m'
_space_group_IT_number 65
_space_group_name_Hall '-C 2 2'
_cell_length_a 2.835
_cell_length_b 5.087
_cell_length_c 9.116
_cell_angle_alpha 90.00
_cell_angle_beta 90.00
_cell_angle_gamma 90.00
loop_
_atom_site_label
_atom_site_type_symbol
_atom_site_fract_x
_atom_site_fract_y
_atom_site_fract_z
_atom_site_occupancy
Os1 Os 0.000 0.000 0.000 1
Au1 Au 0.000 0.500 0.251 1
Cl1 Cl 0.000 0.000 0.500 1
```

Summary:
* energy relative to the lowest polymorph listed for this composition: 8 meV per atom
* VASP energy: -431.580 eV per cell


# 10
## Cs2As2Pd (SCAN)

Data for a PBEsol-optimized structure of Cs2As2Pd.

CIF file:
```
data_Cs2As2Pd
_space_group_name_H-M_alt 'C m c m'
_space_group_IT_number 63
_space_group_name_Hall '-C 2c 2'
_cell_length_a 6.935
_cell_length_b 15.071
_cell_length_c 6.259
_cell_angle_alpha 90.00
_cell_angle_beta 90.00
_cell_angle_gamma 90.00
loop_
_atom_site_label
_atom_site_type_symbol
_atom_site_fract_x
_atom_site_fract_y
_atom_site_fract_z
_atom_site_occupancy
Cs1 Cs 0.000 0.086 0.250 1
Cs2 Cs 0.000 0.292 0.750 1
As1 As 0.174 0.399 0.250 1
Pd1 Pd 0.000 0.500 0.000 1
```

Summary:
* ΔE_f: -650 meV/atom
* VASP energy: -608.104 eV per cell


# 11
## RbSb2P2 (SCAN)

Data for a PBEsol-optimized structure of RbSb2P2.

CIF file:
```
data_RbSb2P2
_space_group_name_H-M_alt 'P 4/m b m'
_space_group_IT_number 127
_space_group_name_Hall '-P 4 2ab'
_cell_length_a 8.663
_cell_length_b 8.663
_cell_length_c 3.500
_cell_angle_alpha 90.00
_cell_angle_beta 90.00
_cell_angle_gamma 90.00
loop_
_atom_site_label
_atom_site_type_symbol
_atom_site_fract_x
_atom_site_fract_y
_atom_site_fract_z
_atom_site_occupancy
Rb1 Rb 0.000 0.000 0.000 1
Sb1 Sb 0.116 0.384 0.000 1
P1 P 0.145 0.645 0.500 1
```

Summary:
* energy relative to the lowest polymorph listed for this composition: 225 meV per atom
* VASP energy: -229.253 eV per cell


# 12
## K2CdIn (SCAN)

Data for a PBEsol-optimized structure of K2CdIn.

CIF file:
```
data_K2CdIn
_space_group_name_H-M_alt 'P m m 2'
_space_group_IT_number 25
_cell_length_a 3.802
_cell_length_b 4.100
_cell_length_c 9.932
_cell_angle_alpha 90.00
_cell_angle_beta 90.00
_cell_angle_gamma 90.00
loop_
_space_group_symop_operation_xyz
'x,y,z'
'-x,-y,z'
'-x,y,z'
'x,-y,z'
loop_
_atom_site_label
_atom_site_type_symbol
_atom_site_fract_x
_atom_site_fract_y
_atom_site_fract_z
_atom_site_occupancy
K1 K 0.000 0.000 0.000 1
K2 K 0.500 0.500 0.391 1
Cd1 Cd 0.000 0.000 0.634 1
In1 In 0.500 0.500 0.755 1
```

Summary:
* ΔE_f: -44 meV/atom
* VASP energy: -80.636 eV per cell


Which formula does entry 10 have? Cs2As2Pd


Among the records above, which one has the highest VASP energy? K2CdIn